<w>
The following is a DFT calculation (PBE-GGA) of a relaxed LiCa8Cd2 crystal.

Output
As for the space-group type: No. 71. For the mass density, the calculation gives 2.38 g/cm³.

```
LiCa8Cd2
1.0
-2.646 4.755 7.654
2.646 -4.755 7.654
2.646 4.755 -7.654
Li Ca Cd
1 8 2
Direct
0.000 0.000 0.000
0.124 0.837 0.288
0.136 0.636 0.500
0.320 0.500 0.820
0.451 0.163 0.288
0.549 0.837 0.712
0.680 0.500 0.180
0.864 0.364 0.500
0.876 0.163 0.712
0.299 0.299 0.000
0.701 0.701 0.000
```


<x>
The following is a DFT calculation (PBE-GGA) of a relaxed LiCa8Cd2 crystal.

Output
As for the space-group type: No. 12. For the mass density, the calculation gives 2.38 g/cm³.

```
LiCa8Cd2
1.0
9.521 -2.721 0.000
9.521 2.721 0.000
-2.502 0.000 7.454
Li Ca Cd
1 8 2
Direct
0.000 0.000 0.000
0.098 0.098 0.469
0.171 0.171 0.958
0.305 0.305 0.702
0.471 0.471 0.226
0.529 0.529 0.774
0.695 0.695 0.298
0.829 0.829 0.042
0.902 0.902 0.531
0.315 0.315 0.302
0.685 0.685 0.698
```


If you had to bet on the most stable structure above, which would it be? Bet on <x>.